First-principles (PBE) data for a relaxed structure of TeOs2Br, as listed in the Alexandria database. Values from VASP.

## Properties
space-group type: Cmm2, No. 35
volume: 82.3 Å³/cell
magnetic moment: 0.00 μB/f.u.
formation energy (no corrections): 0.98 eV per atom

Quantum ESPRESSO input file:
```
&SYSTEM
  ibrav = 0, nat = 4, ntyp = 3
/
ATOMIC_SPECIES
Te 127.60 Te.upf
Os 190.23 Os.upf
Br 79.90 Br.upf
ATOMIC_POSITIONS crystal
Te 0.0000 0.0000 0.0000
Os 0.0000 0.0000 0.4304
Os 0.5000 0.5000 0.2330
Br 0.5000 0.5000 0.6498
CELL_PARAMETERS angstrom
1.4548 -2.6859 0.0000
1.4548 2.6859 0.0000
0.0000 0.0000 10.5298
```

---

First-principles (PBE) data for a relaxed structure of AcPr6Zn2, as listed in the Alexandria database. Values from VASP.

## Properties
space-group type: C2/m, No. 12
volume: 292.5 Å³/cell
electronic total energy: -4.0517 eV per atom
magnetic moment: 0.00 μB/f.u.

Quantum ESPRESSO input file:
```
&SYSTEM
  ibrav = 0, nat = 9, ntyp = 3
/
ATOMIC_SPECIES
Ac 227.00 Ac.upf
Pr 140.91 Pr.upf
Zn 65.41 Zn.upf
ATOMIC_POSITIONS crystal
Ac 0.0000 0.0000 0.0000
Pr 0.0263 0.0263 0.3291
Pr 0.3097 0.3097 0.1274
Pr 0.3138 0.3138 0.4123
Pr 0.6862 0.6862 0.5877
Pr 0.6903 0.6903 0.8726
Pr 0.9737 0.9737 0.6709
Zn 0.3440 0.3440 0.7851
Zn 0.6560 0.6560 0.2149
CELL_PARAMETERS angstrom
6.5303 -1.9175 0.0000
6.5303 1.9175 0.0000
-4.0397 0.0000 11.6801
```

---

First-principles (PBE) data for a relaxed structure of KLuTlIn, as listed in the Alexandria database. Values from VASP.

## Properties
space-group type: F-43m, No. 216
volume: 119.7 Å³/cell
electronic total energy: -2.7155 eV per atom
magnetic moment: 0.00 μB/f.u.

Quantum ESPRESSO input file:
```
&SYSTEM
  ibrav = 0, nat = 4, ntyp = 4
/
ATOMIC_SPECIES
K 39.10 K.upf
Lu 174.97 Lu.upf
Tl 204.38 Tl.upf
In 114.82 In.upf
ATOMIC_POSITIONS crystal
K 0.0000 0.0000 0.0000
Lu 0.5000 0.5000 0.5000
Tl 0.7500 0.7500 0.7500
In 0.2500 0.2500 0.2500
CELL_PARAMETERS angstrom
0.0000 3.9113 3.9113
3.9113 0.0000 3.9113
3.9113 3.9113 0.0000
```

---

First-principles (PBE) data for a relaxed structure of CeGdCuHg, as listed in the Alexandria database. Values from VASP.

## Properties
space-group type: F-43m, No. 216
volume: 99.6 Å³/cell
electronic total energy: -6.3048 eV per atom
magnetic moment: 8.14 μB/f.u.

Quantum ESPRESSO input file:
```
&SYSTEM
  ibrav = 0, nat = 4, ntyp = 4
/
ATOMIC_SPECIES
Ce 140.12 Ce.upf
Gd 157.25 Gd.upf
Cu 63.55 Cu.upf
Hg 200.59 Hg.upf
ATOMIC_POSITIONS crystal
Ce 0.0000 0.0000 0.0000
Gd 0.5000 0.5000 0.5000
Cu 0.7500 0.7500 0.7500
Hg 0.2500 0.2500 0.2500
CELL_PARAMETERS angstrom
0.0000 3.6796 3.6796
3.6796 0.0000 3.6796
3.6796 3.6796 0.0000
```

---

The lowest volume belongs to which entry?
TeOs2Br